Record 1
BaHg2H | PBE | relaxed

```
BaHg2H
1.0
-1.879 4.080 1.029
-3.684 1.978 -4.234
-8.391 -2.002 2.961
Hg H Ba
4 2 2
Cartesian
-6.002 3.780 -2.668
-7.357 -0.202 0.393
-4.854 1.318 -1.109
-3.429 4.284 -0.031
-5.765 0.093 2.066
-11.410 3.418 -0.778
-5.878 2.638 2.084
-10.747 0.987 -0.242
```

Values from the calculation:
DOS(E_F) = 2.0 states/eV/f.u.
E above lowest polymorph = 24 meV per atom
Space group = No. 1

Record 2
BaHg2H | PBE | relaxed

```
BaHg2H
1.0
4.463 -0.001 -0.001
0.003 5.833 0.007
0.016 2.142 8.138
Hg Ba H
4 2 2
Cartesian
3.361 6.811 5.192
3.338 1.361 0.436
1.121 1.163 2.952
1.144 6.613 7.708
3.358 4.271 2.322
1.124 3.703 5.822
1.126 3.290 3.222
3.356 4.684 4.922
```

Values from the calculation:
DOS(E_F) = 1.4 states/eV/f.u.
E above lowest polymorph = 0 meV per atom
Space group = No. 2

Record 3
Ba2HgH | PBE | relaxed

```
Ba2HgH
1.0
-2.671 3.022 0.980
-4.022 -0.397 -0.946
-3.928 -3.570 9.095
Ba Hg H
2 1 1
Cartesian
-3.347 -2.049 5.987
-7.274 1.104 3.142
0.000 0.000 0.000
-5.311 -0.473 4.565
```

Values from the calculation:
DOS(E_F) = 4.0 states/eV/f.u.
E above lowest polymorph = 371 meV per atom
Space group = No. 166

Record 4
BaHg2H | PBE | relaxed

```
BaHg2H
1.0
-4.143 4.234 2.394
-2.640 -0.514 -3.660
-5.544 -12.417 5.742
Ba H Hg
4 4 8
Cartesian
-6.142 -6.642 2.544
-2.050 -0.176 1.503
-6.185 -2.055 1.931
-7.637 -8.007 6.632
-8.218 -7.343 4.140
-5.560 -7.306 5.036
-4.108 -1.354 0.335
-4.126 -0.878 3.099
-3.267 -4.623 3.005
-4.720 1.079 3.253
-7.359 -11.089 4.046
-3.515 -3.310 0.182
-8.812 -5.387 4.293
-6.420 -3.561 5.130
-4.968 2.391 0.429
-4.967 -9.262 4.882
```

Values from the calculation:
DOS(E_F) = 2.0 states/eV/f.u.
E above lowest polymorph = 19 meV per atom
Space group = No. 12

Record 5
Ba3HgH3 | PBE | relaxed

```
Ba3HgH3
1.0
-3.065 6.286 2.290
-6.644 -3.155 -0.233
0.783 -2.164 6.989
H Hg Ba
6 2 6
Cartesian
-3.193 2.354 1.087
-3.126 -2.118 1.631
-2.735 -3.200 5.126
-0.375 0.489 4.067
-6.515 0.777 0.970
-1.907 3.632 5.212
-4.463 0.483 4.523
0.000 0.000 0.000
-0.945 1.520 6.387
-1.269 -1.871 3.437
-1.337 2.602 2.892
-5.621 3.137 1.601
-4.088 -0.006 0.456
-4.591 -3.448 3.320
```

Values from the calculation:
DOS(E_F) = 6.0 states/eV/f.u.
Space group = No. 223

Record 6
BaHg2H | PBE | relaxed

```
BaHg2H
1.0
-0.680 6.946 -1.476
-2.036 -1.115 -4.310
-10.388 0.024 4.900
H Hg Ba
4 8 4
Cartesian
-7.886 1.617 0.526
-1.674 2.162 0.231
-1.931 4.790 -0.328
-8.143 4.244 -0.032
-10.415 2.936 1.379
-5.936 1.128 -0.268
-10.464 5.294 3.572
-1.723 -0.556 -1.822
-4.203 3.482 1.084
-5.900 0.014 2.783
-6.288 4.724 -1.033
-10.112 1.698 4.337
-2.836 0.007 1.338
-9.048 -0.539 1.633
-3.050 2.919 -2.095
-7.227 3.489 2.510
```

Values from the calculation:
DOS(E_F) = 2.6 states/eV/f.u.
E above lowest polymorph = 33 meV per atom
Space group = No. 38

Record 7
Ba3Hg5H12 | PBE | relaxed

```
Ba3Hg5H12
1.0
-3.444 -2.641 11.513
-7.471 -5.718 -7.930
11.565 -3.798 -1.794
Hg H Ba
20 48 12
Cartesian
4.060 -3.219 4.859
6.448 -4.553 1.980
3.565 -5.178 -1.217
-5.953 -6.138 -4.284
0.991 -8.732 3.772
-0.341 -3.424 -1.983
2.047 -4.758 -4.862
5.782 -1.899 -0.897
-2.916 -6.978 3.006
2.363 -9.262 -0.322
-1.714 -2.894 2.111
-5.799 -7.603 -0.191
-3.736 -2.859 -3.965
-1.722 -1.320 5.757
6.602 -6.018 6.074
-5.458 -4.179 1.792
-1.697 -6.042 -5.181
2.347 -6.114 6.970
0.000 0.000 0.000
0.325 -6.078 0.895
-5.716 -5.789 -0.524
5.639 -6.944 4.799
-2.114 -3.030 -1.649
-4.990 -5.212 -3.010
0.478 -2.835 6.700
-4.587 -6.318 3.432
3.534 -5.429 8.207
2.763 -9.126 3.438
-2.884 -6.727 -6.418
-2.399 -6.771 1.246
0.621 -8.656 -0.241
-5.383 -5.925 -6.028
-2.067 -3.390 3.854
0.026 -6.698 -5.279
0.888 -2.518 -0.944
-6.471 -8.082 1.460
-2.032 -6.488 -3.421
0.028 -3.500 2.030
-3.147 -5.540 7.879
-8.958 -7.253 1.861
3.949 -9.234 -5.690
-2.859 -3.582 0.836
3.382 -3.343 -1.314
4.664 -4.169 2.260
-1.945 -6.011 4.243
5.992 -5.258 -4.118
2.717 -8.766 -2.065
1.649 -2.260 3.725
-0.238 -9.638 2.734
2.681 -5.668 5.210
9.608 -4.903 -0.071
2.595 -6.145 -2.454
1.085 -6.910 3.493
-5.343 -6.898 5.907
-4.015 -7.987 -0.471
0.172 -9.321 -4.911
-0.999 -9.896 -1.936
-0.435 -5.246 -1.704
6.032 -6.231 7.817
0.623 -5.458 7.068
3.048 -5.385 0.543
5.236 -5.838 -1.642
3.797 -6.616 -6.090
7.120 -4.073 0.329
3.509 -8.574 0.953
-2.733 -8.813 3.103
-3.300 -2.922 7.479
6.365 -6.367 2.314
0.333 -7.652 -2.751
-3.939 -4.599 5.437
2.542 -2.799 1.214
-1.892 -9.357 0.575
3.719 -6.643 2.876
-3.070 -5.513 -1.087
-7.171 -7.074 3.903
1.706 -8.181 -6.845
-1.056 -3.975 8.634
4.589 -7.557 -3.648
0.316 -4.504 4.540
7.821 -5.082 -2.113
```

Values from the calculation:
DOS(E_F) = 0.3 states/eV/f.u.
Space group = No. 230

Record 8
Ba2HgH2 | PBE | relaxed

```
Ba2HgH2
1.0
-0.680 7.938 -1.598
-8.062 -0.515 0.872
0.342 0.757 3.613
Hg H Ba
2 4 4
Cartesian
-4.371 3.711 -0.363
0.000 0.000 0.000
-1.403 4.871 -0.887
-3.134 0.770 0.136
-5.609 6.652 -0.862
-7.340 2.551 0.161
-6.920 5.333 1.441
-5.412 1.439 2.113
-2.988 6.740 0.773
-1.480 2.846 1.446
```

Values from the calculation:
DOS(E_F) = 3.1 states/eV/f.u.
E above lowest polymorph = 195 meV per atom
Space group = No. 127

Record 9
BaHg2H | PBE | relaxed

```
BaHg2H
1.0
3.049 2.173 4.022
0.986 5.405 0.086
-2.353 3.162 3.829
Hg Ba H
2 1 1
Cartesian
0.421 2.685 1.985
1.262 8.055 5.954
0.841 5.370 3.969
0.000 0.000 0.000
```

Values from the calculation:
DOS(E_F) = 3.9 states/eV/f.u.
E above lowest polymorph = 454 meV per atom
Space group = No. 225

Record 10
Ba2HgH | PBE | relaxed

```
Ba2HgH
1.0
3.840 0.000 0.000
0.000 3.840 0.000
0.000 0.000 8.329
Ba Hg H
2 1 1
Cartesian
0.000 0.000 6.411
0.000 0.000 1.918
1.920 1.920 4.165
1.920 1.920 0.000
```

Values from the calculation:
DOS(E_F) = 2.5 states/eV/f.u.
E above lowest polymorph = 210 meV per atom
Space group = No. 123

Record 11
BaHgH3 | PBE | relaxed

```
BaHgH3
1.0
4.253 0.000 0.000
0.000 4.253 0.000
0.000 0.000 4.253
Ba H Hg
1 3 1
Cartesian
2.127 2.127 2.127
0.000 0.000 2.127
0.000 2.127 0.000
2.127 0.000 0.000
0.000 0.000 0.000
```

Values from the calculation:
DOS(E_F) = 1.6 states/eV/f.u.
E above lowest polymorph = 78 meV per atom
Space group = No. 221

Record 12
BaHgH | PBE | relaxed

```
BaHgH
1.0
-1.545 0.558 4.215
2.681 -0.905 3.530
3.538 9.029 2.528
Ba H Hg
2 2 2
Cartesian
1.322 1.402 5.154
3.352 7.280 5.119
3.981 7.889 7.697
0.693 0.793 2.576
2.489 3.570 7.722
2.185 5.112 2.551
```

Values from the calculation:
DOS(E_F) = 1.7 states/eV/f.u.
E above lowest polymorph = 0 meV per atom
Space group = No. 166

Which electronic total energy belongs to each record? In order, -1.81; -1.83; -1.93; -1.81; -2.65; -1.80; -2.41; -2.45; -1.38; -2.09; -2.54; -2.27 eV/atom.